A relaxed structure of TlHgBi, computed with PBE.

Unit cell a=3.384 b=5.642 c=9.790 alpha=90.01 beta=91.73 gamma=90.01
Sites, in units of the cell vectors:
Tl 0.994 0.248 0.255
Tl 0.011 0.748 0.748
Hg 0.351 0.248 0.928
Hg 0.653 0.748 0.075
Bi 0.511 0.248 0.586
Bi 0.494 0.748 0.417

Summary:
ΔE_f, eV/f.u.: -0.05
Crystal system: monoclinic
E_tot, eV/atom: -2.20
V, Å³/atom: 31.14